No. 1
First-principles (PBE-GGA) data for AsOsSe2 after structural relaxation, as listed in Alexandria.

Properties
Fermi-level density of states = 2.60 states/eV/f.u.
relative energy among the computed polymorphs = 406 meV per atom
formation energy from raw total energies = 0.5060 eV/atom
calculated volume = 376.0 Å³ per cell
symmetry = I-42d

Cell lengths 6.4370, 6.4370, 9.0735 Å; angles 90.00, 90.00, 90.00 degrees
Positions (direct):
As: 0.0000 0.0000 0.0000
As: 0.0000 0.5000 0.2500
As: 0.5000 0.0000 0.7500
As: 0.5000 0.5000 0.5000
Os: 0.0000 0.0000 0.5000
Os: 0.0000 0.5000 0.7500
Os: 0.5000 0.0000 0.2500
Os: 0.5000 0.5000 0.0000
Se: 0.2079 0.2500 0.6250
Se: 0.2500 0.7079 0.8750
Se: 0.2500 0.7921 0.3750
Se: 0.2921 0.2500 0.1250
Se: 0.7079 0.7500 0.1250
Se: 0.7500 0.2079 0.3750
Se: 0.7500 0.2921 0.8750
Se: 0.7921 0.7500 0.6250

=====

No. 2
First-principles (PBE-GGA) data for AsOs3Se after structural relaxation, as listed in Alexandria.

Properties
Fermi-level density of states = 7.02 states/eV/f.u.
relative energy among the computed polymorphs = 0 meV per atom
formation energy from raw total energies = 1.8756 eV/atom
calculated volume = 94.9 Å³ per cell
symmetry = Pm-3m

Cell lengths 4.5608, 4.5608, 4.5608 Å; angles 90.00, 90.00, 90.00 degrees
Positions (direct):
As: 0.0000 0.0000 0.0000
Os: 0.0000 0.0000 0.5000
Os: 0.0000 0.5000 0.0000
Os: 0.5000 0.0000 0.0000
Se: 0.5000 0.5000 0.5000

=====

No. 3
First-principles (PBE-GGA) data for As3OsSe after structural relaxation, as listed in Alexandria.

Properties
Fermi-level density of states = 4.64 states/eV/f.u.
relative energy among the computed polymorphs = 1075 meV per atom
formation energy from raw total energies = 1.6999 eV/atom
calculated volume = 112.4 Å³ per cell
symmetry = Pm-3m

Cell lengths 4.8259, 4.8259, 4.8259 Å; angles 90.00, 90.00, 90.00 degrees
Positions (direct):
As: 0.0000 0.0000 0.5000
As: 0.0000 0.5000 0.0000
As: 0.5000 0.0000 0.0000
Os: 0.5000 0.5000 0.5000
Se: 0.0000 0.0000 0.0000

=====

No. 4
First-principles (PBE-GGA) data for AsOsSe2 after structural relaxation, as listed in Alexandria.

Properties
Fermi-level density of states = 3.65 states/eV/f.u.
relative energy among the computed polymorphs = 440 meV per atom
formation energy from raw total energies = 0.5395 eV/atom
calculated volume = 258.0 Å³ per cell
symmetry = R-3m

Cell lengths 2.8295, 2.8295, 37.2114 Å; angles 90.00, 90.00, 120.00 degrees
Positions (direct):
As: 0.0000 0.0000 0.0000
As: 0.3333 0.6667 0.6667
As: 0.6667 0.3333 0.3333
Os: 0.0000 0.0000 0.5000
Os: 0.3333 0.6667 0.1667
Os: 0.6667 0.3333 0.8333
Se: 0.0000 0.0000 0.4350
Se: 0.0000 0.0000 0.5650
Se: 0.3333 0.6667 0.1017
Se: 0.3333 0.6667 0.2317
Se: 0.6667 0.3333 0.7683
Se: 0.6667 0.3333 0.8983

=====

Calculated total magnetic moment, 0.00 0.00 1.13 0.00 μB/cell (same order as the records).